# BaReNi

A relaxed BaReNi crystal (GGA-PBEsol, Alexandria).

Results
* DOS at the Fermi energy: 4.1 states/eV per cell
* energy relative to the elements: 345 kJ/mol of formula units

Unit cell a=3.0058 b=3.0058 c=7.4481 alpha=90.00 beta=90.00 gamma=120.00
With the nearest neighbours (Å) after each atom.
Space group P3m1 (No. 156)
Inequivalent atoms, fractional coordinates:
Ba (0.0000, 0.0000, 0.0000) x1  6 Ba 3.01, 3 Ni 3.27
Re (0.3333, 0.6667, 0.3965) x1  3 Ni 2.45
Ni (0.6667, 0.3333, 0.6280) x1  3 Re 2.45